# 1
A relaxed structure of Ac3Bi2Pd7, computed with PBE.

The offset from the most stable computed form is 0.050 eV per atom. The value obtained for the formation energy from the elements is -0.576 eV per atom. Its final energy is -5.28 eV/atom. The density is 10.2 g/cm³.

The structure belongs to space group P-1 (No. 2); the cell edges are 4.370, 5.225 and 13.254 Å and the angles 83.49°, 89.95° and 89.92°. The distinct sites, in fractional coordinates, are Ac at (0.000, 0.000, 0.000), Ac at (0.000, 0.277, 0.390), Bi at (0.499, 0.383, 0.812), Pd at (0.001, 0.800, 0.283), Pd at (0.500, 0.114, 0.234), Pd at (0.500, 0.235, 0.571) and Pd at (0.500, 0.500, 0.000).


# 2
A relaxed structure of CaTa2O, computed with PBE.

Its final energy is -7.93 eV/atom. The energy relative to the elements, uncorrected comes out at -0.2666 eV per atom. The density is 7.5 g/cm³.

The structure belongs to space group I4_1/amd (No. 141, origin choice 2); the cell edges are 6.398, 6.398 and 9.071 Å and the angles 90.00°, 90.00° and 90.00°. The distinct sites, in fractional coordinates, are Ca at (0.000, 0.250, 0.375), Ta at (0.000, 0.000, 0.000) and O at (0.000, 0.250, 0.875).